Density functional theory data (GGA+U) for a relaxed structure of BaPrCo2O6. Values from VASP.

Structure (Quantum ESPRESSO input):
```
&SYSTEM
  ibrav = 0, nat = 10, ntyp = 4
/
ATOMIC_SPECIES
Ba 137.33 Ba.upf
Pr 140.91 Pr.upf
Co 58.93 Co.upf
O 16.00 O.upf
CELL_PARAMETERS angstrom
3.8431 0.0000 0.0000
0.0000 3.8431 0.0000
0.0000 0.0000 7.7974
ATOMIC_POSITIONS crystal
Ba 0.0000 0.0000 0.0000
Pr 0.0000 0.0000 0.5000
Co 0.5000 0.5000 0.2509
Co 0.5000 0.5000 0.7491
O 0.0000 0.5000 0.2731
O 0.0000 0.5000 0.7269
O 0.5000 0.0000 0.2731
O 0.5000 0.0000 0.7269
O 0.5000 0.5000 0.0000
O 0.5000 0.5000 0.5000
```

Summary:
- space group = No. 123
- VASP energy (eV per atom) = -6.42
- density (g/cm3) = 7.10
- magnetic moment (μB per atom) = 0.10